Below is crystalline Ba8Bi5Br at its relaxed geometry, with properties calculated at the PBE-GGA level.

```
14
Lattice="8.7868 0.0000 -3.0176 -4.3859 7.5657 -3.1364 -0.0150 0.0000 9.2905" Properties=species:S:1:pos:R:3 pbc="T T T"
Ba -2.1903 5.6914 -2.5577
Br -0.0075 3.7829 4.6452
Bi 4.3859 0.0000 3.1364
Bi 2.6906 0.9072 7.7184
Ba 3.9182 2.9272 5.0508
Bi 3.8672 4.7131 1.6502
Ba 1.6604 4.6386 -1.0614
Ba 1.5691 6.7593 3.4263
Ba 8.1355 0.8064 3.5136
Bi -1.5741 2.8526 -0.0103
Ba 5.4922 1.8292 0.3289
Bi 3.7879 6.6585 -3.0854
Ba -2.2991 5.7365 1.9545
Ba 1.2574 1.8743 1.8906
```

Calculated values
Space group: I-4 (82)
Raw formation energy in eV per atom: -1.094
Total energy in eV/cell: -51.78
Total magnetic moment in μB/cell: 0.0

***

Below is crystalline Sr2PuOs2N6 at its relaxed geometry, with properties calculated at the PBE-GGA level.

```
11
Lattice="-3.0353 -3.3385 4.1408 2.9661 -4.2217 3.2992 1.1485 1.5191 6.5954" Properties=species:S:1:pos:R:3 pbc="T T T"
N -1.2878 -3.2341 5.5060
N 0.8634 -0.6670 6.8570
Pu 0.0000 0.0000 0.0000
Sr 0.3903 -1.0950 3.9320
N 1.7544 -3.6818 5.0794
N 2.3670 -2.8071 8.5294
Os 0.7757 -2.2064 7.8472
N 0.2157 -5.3742 7.1784
Sr 0.6889 -4.9462 10.1034
Os 0.3034 -3.8348 6.1882
N -0.6752 -2.3593 8.9560
```

Calculated values
Space group: R-3m (166)
Raw formation energy in eV per atom: -0.400
Total energy in eV/cell: -94.51
Total magnetic moment in μB/cell: 4.0
D(E_F) in states/eV/cell: 3.450

***

Below is crystalline TcTeF at its relaxed geometry, with properties calculated at the PBE-GGA level.

```
6
Lattice="3.2130 -0.0496 0.0683 -1.5135 6.0562 0.1698 -0.1991 -2.0891 6.7101" Properties=species:S:1:pos:R:3 pbc="T T T"
Te 2.2797 -0.8050 5.0418
Te -0.7793 4.7225 1.9063
Tc 0.7716 3.1977 3.4644
F 0.7845 1.8806 1.7753
F 0.7159 2.0370 5.1728
Tc 0.7288 0.7199 3.4837
```

Calculated values
Space group: P-1 (2)
Raw formation energy in eV per atom: -0.665
Total energy in eV/cell: -34.75
Total magnetic moment in μB/cell: 0.0
D(E_F) in states/eV/cell: 2.627

***

Below is crystalline NaI3O8 at its relaxed geometry, with properties calculated at the PBE-GGA level.

```
12
Lattice="0.9948 -3.9301 2.0648 7.2656 2.2718 2.5035 -5.8566 4.5517 2.8882" Properties=species:S:1:pos:R:3 pbc="T T T"
O 6.6165 0.8302 4.1942
O 3.5709 2.9391 2.8824
I 4.9612 0.2609 3.6968
I 0.7604 -0.3278 3.4952
O 1.7950 0.7389 4.5264
O -1.0865 -0.0088 4.6072
O -0.4344 3.7123 5.1666
O -0.0189 2.0411 2.3318
Na 1.7523 3.1947 4.3745
O 2.5617 -0.5980 2.1513
I -2.4279 2.6796 3.9628
O -3.8301 1.8204 3.2603
```

Calculated values
Space group: P1 (1)
Raw formation energy in eV per atom: -0.486
Distance to the lowest polymorph of the same formula in meV/atom: 56
Total energy in eV/cell: -51.47
Total magnetic moment in μB/cell: 0.0
D(E_F) in states/eV/cell: 0.000

***

Below is crystalline FeSb3 at its relaxed geometry, with properties calculated at the PBE-GGA level.

```
4
Lattice="-2.7469 4.2538 0.0996 -0.8191 -0.6449 4.9562 4.1754 2.6720 1.0377" Properties=species:S:1:pos:R:3 pbc="T T T"
Sb -0.4095 -0.3225 2.4781
Sb -1.3735 2.1269 0.0498
Fe 0.0000 0.0000 0.0000
Sb 2.0877 1.3360 0.5189
```

Calculated values
Space group: Pm-3m (221)
Raw formation energy in eV per atom: 0.535
Distance to the lowest polymorph of the same formula in meV/atom: 561
Total energy in eV/cell: -18.69
Total magnetic moment in μB/cell: 2.7
D(E_F) in states/eV/cell: 6.220

***

Below is crystalline BiSb3O at its relaxed geometry, with properties calculated at the PBE-GGA level.

```
5
Lattice="4.9129 0.0000 0.0000 0.0000 4.9129 0.0000 0.0000 0.0000 4.9129" Properties=species:S:1:pos:R:3 pbc="T T T"
Sb 2.4564 0.0000 0.0000
Bi 2.4564 2.4564 2.4564
O 0.0000 0.0000 0.0000
Sb 0.0000 0.0000 2.4564
Sb 0.0000 2.4564 0.0000
```

Calculated values
Space group: Pm-3m (221)
Raw formation energy in eV per atom: -0.026
Distance to the lowest polymorph of the same formula in meV/atom: 0
Total energy in eV/cell: -21.34
Total magnetic moment in μB/cell: 0.0
D(E_F) in states/eV/cell: 2.048

***

Below is crystalline Nd2In8Ni at its relaxed geometry, with properties calculated at the PBE-GGA level.

```
11
Lattice="-3.5608 -2.6378 -1.5204 0.0313 -2.3712 4.0405 -8.0004 8.0433 4.7824" Properties=species:S:1:pos:R:3 pbc="T T T"
In -3.9845 2.8360 4.4114
Ni 0.0000 0.0000 0.0000
Nd -5.5483 5.5781 3.3166
In -4.2281 -0.0279 2.7326
In -8.8287 5.7673 3.4531
In -7.0326 5.9006 6.2335
In -0.9364 -0.2285 2.5893
Nd -2.4521 2.4652 1.4658
In -2.7325 -0.3617 -0.1911
In -7.3017 3.0622 4.5699
In -5.7806 2.7028 1.6310
```

Calculated values
Space group: P4/mmm (123)
Total energy in eV/cell: -41.34
Total magnetic moment in μB/cell: 0.0
D(E_F) in states/eV/cell: 4.985

***

Below is crystalline Pm6Tl5Au at its relaxed geometry, with properties calculated at the PBE-GGA level.

```
12
Lattice="-1.6973 -0.7229 -5.1136 -2.0457 -7.2774 1.7077 -8.2944 2.2289 -0.4375" Properties=species:S:1:pos:R:3 pbc="T T T"
Au 0.0000 0.0000 0.0000
Pm -4.6037 -1.6711 -4.0113
Pm -6.3913 -0.3920 -0.7022
Pm -7.4337 -4.1004 0.1679
Tl -4.3894 -3.1244 -0.9872
Tl -7.6481 -2.6470 -2.8562
Pm -5.6462 -5.3794 -3.1412
Tl -1.0229 -3.6387 0.8539
Tl -6.6418 0.9976 -3.7050
Tl -3.3499 0.5084 -1.8461
Pm -1.3401 -2.1097 -2.1466
Pm -2.4029 -5.8907 -1.2592
```

Calculated values
Space group: P2/m (10)
Total energy in eV/cell: -48.77
Total magnetic moment in μB/cell: 1.3
D(E_F) in states/eV/cell: 13.466

***

Below is crystalline Rb2LaMnSe4 at its relaxed geometry, with properties calculated at the PBE-GGA level.

```
16
Lattice="8.9527 -0.2008 -0.2959 -0.2070 8.9527 -0.2960 -4.4814 -4.4845 6.4862" Properties=species:S:1:pos:R:3 pbc="T T T"
Se 4.4313 0.0500 3.0951
La 4.3679 -0.2091 6.0420
Se -0.1640 4.2153 2.7999
Se 4.0709 3.9111 3.2754
Se -2.6044 2.1724 6.0429
Mn -4.6875 4.4668 6.1899
Mn 2.1288 2.1366 2.9468
Se 2.4881 2.3273 5.5660
La 6.6083 2.0329 2.7992
Rb 4.4764 -0.1003 -0.1477
Rb -2.4472 6.7099 2.9471
Se 0.1932 0.3560 2.6188
Se 1.7761 1.9399 0.3281
Rb -0.1087 -0.1084 6.1902
Se 6.8680 2.0963 -0.1481
Rb 2.2358 -2.3425 3.0953
```

Calculated values
Space group: Imma (74)
Raw formation energy in eV per atom: -1.129
Total energy in eV/cell: -78.00
Total magnetic moment in μB/cell: 0.0
D(E_F) in states/eV/cell: 1.276

***

Below is crystalline Sc2TlFeTe at its relaxed geometry, with properties calculated at the PBE-GGA level.

```
5
Lattice="5.3940 0.0000 0.0000 0.0000 5.6927 0.0000 0.0000 0.0000 5.3940" Properties=species:S:1:pos:R:3 pbc="T T T"
Te 0.0000 2.8464 0.0000
Sc 0.0000 0.0000 2.6970
Sc 2.6970 0.0000 0.0000
Tl 0.0000 0.0000 0.0000
Fe 2.6970 2.8464 2.6970
```

Calculated values
Space group: P4/mmm (123)
Raw formation energy in eV per atom: 1.096
Total energy in eV/cell: -21.16
Total magnetic moment in μB/cell: 2.5
D(E_F) in states/eV/cell: 6.913

***

Below is crystalline SmTl2Pb at its relaxed geometry, with properties calculated at the PBE-GGA level.

```
4
Lattice="-0.4037 -0.6896 3.9355 3.8564 -1.1017 0.2026 1.8863 6.8596 1.3955" Properties=species:S:1:pos:R:3 pbc="T T T"
Pb 1.7263 -0.8956 2.0690
Sm 2.6695 2.5342 2.7668
Tl 1.4268 5.1885 1.0555
Tl 0.4595 1.6711 0.3400
```

Calculated values
Space group: P4/mmm (123)
Total energy in eV/cell: -13.74
Total magnetic moment in μB/cell: 0.0
D(E_F) in states/eV/cell: 3.002

***

Below is crystalline LaPbW at its relaxed geometry, with properties calculated at the PBE-GGA level.

```
3
Lattice="5.2328 0.0000 0.0000 -2.6164 4.5318 0.0000 0.0000 0.0000 3.1322" Properties=species:S:1:pos:R:3 pbc="T T T"
La 0.0000 0.0000 0.0000
W 0.0000 3.0212 1.5644
Pb 2.6164 1.5106 1.5677
```

Calculated values
Space group: P-6m2 (187)
Distance to the lowest polymorph of the same formula in meV/atom: 91
Total energy in eV/cell: -19.61
Total magnetic moment in μB/cell: 0.0
D(E_F) in states/eV/cell: 4.585